CaTe2Os: optimized geometry, GGA-PBE.

a = 4.6020 Å, b = 3.8304 Å, c = 6.9054 Å
α = 90.00°, β = 109.35°, γ = 90.00°
Atoms (fractional coordinates):
Ca  0.0000  0.0000  0.0000
Te  0.3006  0.0000  0.5975
Te  0.6226  0.5000  0.2481
Os  0.4293  0.5000  0.8568

Values from the calculation:
- Volume: 115 Å³ per cell
- Excess energy over the best structure of this formula in the dataset: 251 meV per atom
- Uncorrected formation energy: -0.51 eV/f.u.